First-principles (PBE) data for an optimized crystal structure of Tl12AgHg7, as listed in Alexandria via LeMat-Bulk.

The value obtained for the uncorrected energy is -1.62 eV/atom. As for the magnetization: 0.00 μB per formula unit. The calculation puts the formation energy at 4.4 kJ/mol of atoms.

It has space group R-3m (No. 166, hexagonal axes), with a = 18.2715 Å, b = 18.2715 Å, c = 6.2310 Å, α = 90.00°, β = 90.00° and γ = 120.00°. The inequivalent atoms are Tl at (0.0000, 0.4080, 0.0000), Tl at (0.1046, 0.5523, 0.4879), Ag at (0.0000, 0.0000, 0.5000), Hg at (0.0000, 0.0000, 0.0000) and Hg at (0.0820, 0.1640, 0.3067).

First-principles (PBE) data for an optimized crystal structure of LaNdPb, as listed in Alexandria via LeMat-Bulk.

The value obtained for the uncorrected energy is -4.86 eV/atom. As for the magnetization: 0.00 μB per formula unit. The calculation puts the formation energy at -37.8 kJ/mol of atoms.

It has space group I4mm (No. 107), with a = 4.304 Å, b = 4.304 Å, c = 10.184 Å, α = 90.00°, β = 90.00° and γ = 90.00°. The inequivalent atoms are La at (0.000, 0.000, 0.000), Nd at (0.000, 0.000, 0.309) and Pb at (0.000, 0.000, 0.658).

First-principles (PBE) data for an optimized crystal structure of TbSm2Au, as listed in Alexandria via LeMat-Bulk.

The value obtained for the uncorrected energy is -4.70 eV/atom. As for the magnetization: 0.00 μB per formula unit. The calculation puts the formation energy at -34.8 kJ/mol of atoms.

It has space group P4/mmm (No. 123), with a = 3.694 Å, b = 3.694 Å, c = 8.530 Å, α = 90.00°, β = 90.00° and γ = 90.00°. The inequivalent atoms are Tb at (0.000, 0.000, 0.000), Sm at (0.500, 0.500, 0.290) and Au at (0.000, 0.000, 0.500).

First-principles (PBE) data for an optimized crystal structure of SbSeCl2, as listed in Alexandria via LeMat-Bulk.

The value obtained for the uncorrected energy is -3.13 eV/atom. As for the magnetization: 0.00 μB per formula unit. The formation energy without anion corrections comes out at -0.308 eV/atom.

It has space group Cm (No. 8), with a = 9.228 Å, b = 4.127 Å, c = 7.637 Å, α = 90.00°, β = 95.01° and γ = 90.00°. The inequivalent atoms are Sb at (0.000, 0.000, 0.000), Se at (0.184, 0.500, 0.931), Cl at (0.021, 0.000, 0.313) and Cl at (0.376, 0.000, 0.744).

First-principles (PBE) data for an optimized crystal structure of CsZrPdSe4, as listed in Alexandria via LeMat-Bulk.

The value obtained for the uncorrected energy is -4.90 eV/atom. As for the magnetization: 0.00 μB per formula unit. The formation energy without anion corrections comes out at -0.820 eV/atom.

It has space group P2_1/m (No. 11), with a = 6.992 Å, b = 5.757 Å, c = 10.276 Å, α = 90.00°, β = 107.78° and γ = 90.00°. The inequivalent atoms are Cs at (0.223, 0.250, 0.051), Zr at (0.273, 0.250, 0.557), Pd at (0.269, 0.750, 0.322), Se at (0.009, 0.506, 0.668), Se at (0.430, 0.750, 0.577) and Se at (0.498, 0.250, 0.816).

First-principles (PBE) data for an optimized crystal structure of TaCd2Br, as listed in Alexandria via LeMat-Bulk.

The value obtained for the uncorrected energy is -2.85 eV/atom. As for the magnetization: 2.22 μB per formula unit. The formation energy without anion corrections comes out at 0.992 eV/atom.

It has space group Fm-3m (No. 225), with a = 7.265 Å, b = 7.265 Å, c = 7.265 Å, α = 90.00°, β = 90.00° and γ = 90.00°. The inequivalent atoms are Ta at (0.000, 0.000, 0.000), Cd at (0.250, 0.250, 0.250) and Br at (0.000, 0.000, 0.500).

First-principles (PBE) data for an optimized crystal structure of LiNb2TlAg, as listed in Alexandria via LeMat-Bulk.

The value obtained for the uncorrected energy is -4.54 eV/atom. As for the magnetization: 0.00 μB per formula unit. The calculation puts the formation energy at 88.0 kJ/mol of atoms.

It has space group P4/mmm (No. 123), with a = 4.553 Å, b = 4.553 Å, c = 4.447 Å, α = 90.00°, β = 90.00° and γ = 90.00°. The inequivalent atoms are Li at (0.000, 0.000, 0.000), Nb at (0.000, 0.500, 0.000), Tl at (0.500, 0.500, 0.500) and Ag at (0.000, 0.000, 0.500).

First-principles (PBE) data for an optimized crystal structure of Ac2NbHO6, as listed in Alexandria via LeMat-Bulk.

The value obtained for the uncorrected energy is -7.67 eV/atom. As for the magnetization: 0.00 μB per formula unit.

It has space group P2_1/c (No. 14), with a = 5.828 Å, b = 4.283 Å, c = 11.827 Å, α = 90.00°, β = 116.29° and γ = 90.00°. The inequivalent atoms are Ac at (0.186, 0.165, 0.185), Nb at (0.500, 0.000, 0.000), H at (0.000, 0.000, 0.500), O at (0.126, 0.219, 0.467), O at (0.253, 0.695, 0.336) and O at (0.413, 0.750, 0.115).